# 1
An optimized crystal structure of KMg, computed with GGA-PBE.

Results
The calculation puts the formation energy at 0.300 eV/atom. As for the density of states at the Fermi level: 0.88 states/eV/f.u. The space group is P6_3/mmc. The value obtained for the total magnetization is 0.000 μB per formula unit.

Cell and atoms, written as POSCAR:
```
KMg
1.0
-4.6805 1.7185 -3.8152
3.2776 -5.2173 -1.2054
-6.4449 -5.3218 5.5096
Mg K
4 4
direct
0.3333 0.6667 0.4077
0.6667 0.3333 0.5923
0.3333 0.6667 0.0923
0.6667 0.3333 0.9077
0.0000 0.0000 0.2500
0.3333 0.6667 0.7500
0.0000 0.0000 0.7500
0.6667 0.3333 0.2500
```


# 2
An optimized crystal structure of CoIrRh6, computed with GGA-PBE.

Results
The calculation puts the formation energy at 0.230 eV/atom. As for the density of states at the Fermi level: 13.58 states/eV/f.u. The space group is P-1. The value obtained for the total magnetization is 3.503 μB per formula unit. Its energy above the most stable polymorph in this dataset is 1.632 eV per formula unit.

Cell and atoms, written as POSCAR:
```
CoIrRh6
1.0
6.6839 0.2752 -0.1791
3.5567 6.1710 -0.0668
3.3396 2.2298 2.7972
Ir Co Rh
1 1 6
direct
0.0000 0.0000 0.0000
0.5000 0.5000 0.5000
0.5274 0.7498 0.6755
0.0454 0.5257 0.1788
0.7501 0.9541 0.7692
0.4726 0.2502 0.3245
0.9546 0.4743 0.8212
0.2499 0.0459 0.2308
```


# 3
An optimized crystal structure of Ho7Tl4Pd, computed with GGA-PBE.

Results
The calculation puts the formation energy at -0.143 eV/atom. As for the density of states at the Fermi level: 10.39 states/eV/f.u. The space group is C2/m. The value obtained for the total magnetization is 0.001 μB per formula unit.

Cell and atoms, written as POSCAR:
```
Ho7Tl4Pd
1.0
5.3914 0.0000 0.0000
2.6957 8.7630 0.0490
2.6957 0.4484 7.5304
Ho Tl Pd
7 4 1
direct
0.9343 0.2934 0.8380
0.5000 0.0000 0.0000
0.3478 0.5810 0.7234
0.6522 0.4190 0.2766
0.2214 0.1315 0.4256
0.7786 0.8685 0.5744
0.0657 0.7066 0.1620
0.7148 0.6516 0.9188
0.2852 0.3484 0.0812
0.5740 0.2222 0.6299
0.4260 0.7778 0.3701
0.0000 0.0000 0.0000
```


# 4
An optimized crystal structure of AcPm2Tm, computed with GGA-PBE.

Results
The calculation puts the formation energy at 0.058 eV/atom. As for the density of states at the Fermi level: 6.13 states/eV/f.u. The space group is R-3m. The value obtained for the total magnetization is 0.000 μB per formula unit. Its energy above the most stable polymorph in this dataset is 0.071 eV per formula unit.

Cell and atoms, written as POSCAR:
```
AcPm2Tm
1.0
3.7200 -0.0003 0.0002
0.0005 6.2970 -1.3623
-0.0006 0.4196 12.1388
Pm Tm Ac
4 2 2
direct
0.2777 0.5970 0.8135
0.2777 0.0889 0.2898
0.7777 0.5890 0.2899
0.7777 0.0971 0.8135
0.7777 0.8430 0.0517
0.2777 0.3430 0.0517
0.2777 0.8430 0.5517
0.7777 0.3430 0.5516
```


# 5
An optimized crystal structure of PaAl4Pd2, computed with GGA-PBE.

Results
The calculation puts the formation energy at -0.529 eV/atom. As for the density of states at the Fermi level: 6.48 states/eV/f.u. The space group is P4_2/mnm. The value obtained for the total magnetization is 0.000 μB per formula unit. Its energy above the most stable polymorph in this dataset is 0.729 eV per formula unit.

Cell and atoms, written as POSCAR:
```
PaAl4Pd2
1.0
4.1522 0.0000 0.0000
0.0000 7.7329 0.0000
0.0000 0.0000 7.7329
Al Pd Pa
8 4 2
direct
0.0000 0.0852 0.3326
0.0000 0.9148 0.6674
0.5000 0.5852 0.1674
0.0000 0.3326 0.0852
0.5000 0.8326 0.4148
0.5000 0.4148 0.8326
0.5000 0.1674 0.5852
0.0000 0.6674 0.9148
0.5000 0.7165 0.7165
0.0000 0.2165 0.7835
0.0000 0.7835 0.2165
0.5000 0.2835 0.2835
0.0000 0.5000 0.5000
0.5000 0.0000 0.0000
```


# 6
An optimized crystal structure of ErPd2Au, computed with GGA-PBE.

Results
The calculation puts the formation energy at -0.881 eV/atom. As for the density of states at the Fermi level: 1.00 states/eV/f.u. The space group is P4/mmm. The value obtained for the total magnetization is 0.000 μB per formula unit. Its energy above the most stable polymorph in this dataset is 0.000 eV per formula unit.

Cell and atoms, written as POSCAR:
```
ErPd2Au
1.0
4.0294 0.0000 0.0000
0.0000 4.2158 0.0000
0.0000 0.0000 4.2158
Pd Au Er
2 1 1
direct
0.0000 0.0000 0.5000
0.0000 0.5000 0.0000
0.5000 0.0000 0.0000
0.5000 0.5000 0.5000
```


Number 1: calculated volume 341.7 Å³/cell. Number 2: calculated volume 115.8 Å³/cell. Number 3: calculated volume 355.7 Å³/cell. Number 4: calculated volume 286.5 Å³/cell. Number 5: calculated volume 248.3 Å³/cell. Number 6: calculated volume 71.6 Å³/cell.